1.
# SnAuSe2

A geometry-optimized SnAuSe2 structure (PBE, Alexandria).

Cell and atoms, written as extended XYZ:
```
4
Lattice="-0.1183 1.3965 -3.7208 2.7049 -1.1936 -2.6584 -3.2705 -5.1930 -3.9693" Properties=species:S:1:pos:R:3 pbc="T T T"
Sn -0.3450 -2.4989 -5.1756
Au -1.5252 -5.0312 -8.2128
Se -2.3529 -4.0249 -3.5601
Se -0.0733 -1.1233 -2.5436
```

Computed properties:
* ΔE_f (raw): -97 meV/atom
* space group: R3m

---

2.
# SnAu2Se2

A geometry-optimized SnAu2Se2 structure (PBE, Alexandria).

Cell and atoms, written as extended XYZ:
```
10
Lattice="-2.7330 -6.6435 -2.7276 1.1416 -3.2832 6.8530 -3.4269 0.9822 1.0414" Properties=species:S:1:pos:R:3 pbc="T T T"
Au -0.0235 -5.3485 4.9670
Au -1.6718 -7.8598 1.9115
Au -1.5679 -4.5782 -0.8417
Au 0.0804 -2.0669 2.2138
Sn 0.0000 0.0000 0.0000
Sn -0.7957 -4.9634 2.0627
Se -1.4407 -3.0094 4.7197
Se -2.6639 -6.7432 4.2158
Se -3.5777 -5.9351 0.4471
Se -2.3544 -2.2014 0.9510
```

Computed properties:
* ΔE_f (raw): 92 meV/atom
* space group: P4/mbm

---

3.
# Sn2AuSe2

A geometry-optimized Sn2AuSe2 structure (PBE, Alexandria).

Cell and atoms, written as extended XYZ:
```
5
Lattice="-4.2512 -0.9392 0.9366 -0.7655 -0.8310 -4.3076 -0.7938 -7.6484 -0.6853" Properties=species:S:1:pos:R:3 pbc="T T T"
Au 0.0000 0.0000 0.0000
Sn -2.1065 -2.4703 -1.4511
Sn -3.7040 -6.9483 -2.6052
Se -3.7766 -4.7363 -0.7171
Se -2.0338 -4.6823 -3.3392
```

Computed properties:
* ΔE_f (raw): 117 meV/atom
* space group: I4/mmm
* polymorph energy (0 for the lowest one): 1.28 eV per formula unit